Entry 1:
Crystalline AcAg2AsO4 at its relaxed geometry, computed with GGA-PBE.

Properties
Formation energy without anion corrections ... -1.226 eV/atom
Space-group type ... C2/c, No. 15

Cell lengths 6.974, 6.974, 9.214 Å; angles 130.99, 130.99, 69.87 degrees
Element x y z (fractional)
1 Ac 0.000 0.500 0.000
2 Ac 0.000 0.500 0.500
3 Ag 0.500 0.000 0.000
4 Ag 0.500 0.000 0.500
5 Ag 0.000 0.000 0.500
6 Ag 0.500 0.500 0.000
7 As 0.500 0.500 0.500
8 As 0.000 0.000 0.000
9 O 0.190 0.713 0.963
10 O 0.787 0.310 0.537
11 O 0.213 0.690 0.463
12 O 0.810 0.287 0.037
13 O 0.927 0.983 0.172
14 O 0.517 0.573 0.328
15 O 0.483 0.427 0.672
16 O 0.073 0.017 0.828


Entry 2:
Crystalline AcAgAsO5 at its relaxed geometry, computed with GGA-PBE.

Properties
Formation energy without anion corrections ... -1.603 eV/atom
Space-group type ... C2/c, No. 15

Cell lengths 6.180, 6.180, 8.831 Å; angles 99.73, 99.73, 115.92 degrees
Site moments in Bohr magnetons follow the coordinates.
Element x y z (fractional)
1 Ac 0.000 0.000 0.500  0.02
2 Ac 0.000 0.000 0.000  0.02
3 Ag 0.297 0.703 0.250  0.34
4 Ag 0.703 0.297 0.750  0.34
5 As 0.697 0.303 0.250  0.00
6 As 0.303 0.697 0.750  0.00
7 O 0.095 0.905 0.250  0.34
8 O 0.905 0.095 0.750  0.34
9 O 0.968 0.351 0.186  0.09
10 O 0.032 0.649 0.814  0.09
11 O 0.649 0.032 0.314  0.09
12 O 0.351 0.968 0.686  0.09
13 O 0.747 0.531 0.410  0.01
14 O 0.253 0.469 0.590  0.01
15 O 0.469 0.253 0.090  0.01
16 O 0.531 0.747 0.910  0.01


| no. | V (A^3/atom) | VASP energy (eV/atom) | magnetization (μB per cell) |
| --- | --- | --- | --- |
| 1 | 15.773 | -5.51 | 0.0 |
| 2 | 17.971 | -6.15 | 2.0 |